1.
# K2ZrO3 | OQMD | PBE | optimized geometry
# Total energy (eV per formula unit): -40.2
# V (Å³/cell): 425.8
data_K2ZrO3
_cell_length_a 5.885
_cell_length_b 10.423
_cell_length_c 6.943
_cell_angle_alpha 90.00
_cell_angle_beta 90.00
_cell_angle_gamma 90.00
_symmetry_space_group_name_H-M 'P 1'
_symmetry_Int_Tables_number 1
loop_
_symmetry_equiv_pos_as_xyz
'x,y,z'
loop_
_atom_site_label
_atom_site_type_symbol
_atom_site_fract_x
_atom_site_fract_y
_atom_site_fract_z
_atom_site_occupancy
K1 K 0.234 0.085 0.110 1
K2 K 0.234 0.415 0.110 1
K3 K 0.266 0.585 0.610 1
K4 K 0.266 0.915 0.610 1
K5 K 0.734 0.085 0.390 1
K6 K 0.734 0.415 0.390 1
K7 K 0.766 0.585 0.890 1
K8 K 0.766 0.915 0.890 1
Zr1 Zr 0.227 0.750 0.156 1
Zr2 Zr 0.273 0.250 0.656 1
Zr3 Zr 0.727 0.750 0.344 1
Zr4 Zr 0.773 0.250 0.844 1
O1 O 0.012 0.119 0.731 1
O2 O 0.012 0.381 0.731 1
O3 O 0.166 0.750 0.884 1
O4 O 0.334 0.250 0.384 1
O5 O 0.488 0.619 0.231 1
O6 O 0.488 0.881 0.231 1
O7 O 0.512 0.119 0.769 1
O8 O 0.512 0.381 0.769 1
O9 O 0.666 0.750 0.616 1
O10 O 0.834 0.250 0.116 1
O11 O 0.988 0.619 0.269 1
O12 O 0.988 0.881 0.269 1

2.
# TbDyAl4Co2 | OQMD | PBE | optimized geometry
# Total energy (eV per formula unit): -42.7
# V (Å³/cell): 282.3
data_TbDyAl4Co2
_cell_length_a 7.006
_cell_length_b 4.051
_cell_length_c 9.945
_cell_angle_alpha 90.00
_cell_angle_beta 90.00
_cell_angle_gamma 90.00
_symmetry_space_group_name_H-M 'P 1'
_symmetry_Int_Tables_number 1
loop_
_symmetry_equiv_pos_as_xyz
'x,y,z'
loop_
_atom_site_label
_atom_site_type_symbol
_atom_site_fract_x
_atom_site_fract_y
_atom_site_fract_z
_atom_site_occupancy
Tb1 Tb 0.000 0.000 0.000 1
Tb2 Tb 0.000 0.500 0.500 1
Dy1 Dy 0.500 0.000 0.879 1
Dy2 Dy 0.500 0.500 0.379 1
Al1 Al 0.195 0.000 0.280 1
Al2 Al 0.195 0.500 0.780 1
Al3 Al 0.306 0.000 0.599 1
Al4 Al 0.306 0.500 0.099 1
Al5 Al 0.694 0.000 0.599 1
Al6 Al 0.694 0.500 0.099 1
Al7 Al 0.805 0.000 0.280 1
Al8 Al 0.805 0.500 0.780 1
Co1 Co 0.000 0.000 0.725 1
Co2 Co 0.000 0.500 0.225 1
Co3 Co 0.500 0.000 0.155 1
Co4 Co 0.500 0.500 0.655 1

3.
# KNaTcS3 | OQMD | PBE | optimized geometry
# Total energy (eV per formula unit): -29.2
# V (Å³/cell): 518.4
data_KNaTcS3
_cell_length_a 15.103
_cell_length_b 3.520
_cell_length_c 9.750
_cell_angle_alpha 90.00
_cell_angle_beta 90.00
_cell_angle_gamma 90.00
_symmetry_space_group_name_H-M 'P 1'
_symmetry_Int_Tables_number 1
loop_
_symmetry_equiv_pos_as_xyz
'x,y,z'
loop_
_atom_site_label
_atom_site_type_symbol
_atom_site_fract_x
_atom_site_fract_y
_atom_site_fract_z
_atom_site_occupancy
K1 K 0.119 0.250 0.002 1
K2 K 0.381 0.750 0.502 1
K3 K 0.619 0.250 0.498 1
K4 K 0.881 0.750 0.998 1
Na1 Na 0.197 0.750 0.307 1
Na2 Na 0.303 0.250 0.807 1
Na3 Na 0.697 0.750 0.193 1
Na4 Na 0.803 0.250 0.693 1
Tc1 Tc 0.031 0.750 0.609 1
Tc2 Tc 0.469 0.250 0.109 1
Tc3 Tc 0.531 0.750 0.891 1
Tc4 Tc 0.969 0.250 0.391 1
S1 S 0.022 0.750 0.230 1
S2 S 0.107 0.250 0.491 1
S3 S 0.172 0.750 0.751 1
S4 S 0.328 0.250 0.251 1
S5 S 0.393 0.750 0.991 1
S6 S 0.478 0.250 0.730 1
S7 S 0.522 0.750 0.270 1
S8 S 0.607 0.250 0.009 1
S9 S 0.672 0.750 0.749 1
S10 S 0.828 0.250 0.249 1
S11 S 0.893 0.750 0.509 1
S12 S 0.978 0.250 0.770 1

4.
# CsHoTmSe3 | OQMD | PBE | optimized geometry
# E above lowest polymorph (meV per atom): 0
# V (Å³/cell): 407.5
data_CsHoTmSe3
_cell_length_a 8.494
_cell_length_b 8.494
_cell_length_c 11.157
_cell_angle_alpha 90.00
_cell_angle_beta 90.00
_cell_angle_gamma 149.59
_symmetry_space_group_name_H-M 'P 1'
_symmetry_Int_Tables_number 1
loop_
_symmetry_equiv_pos_as_xyz
'x,y,z'
loop_
_atom_site_label
_atom_site_type_symbol
_atom_site_fract_x
_atom_site_fract_y
_atom_site_fract_z
_atom_site_occupancy
Cs1 Cs 0.238 0.762 0.750 1
Cs2 Cs 0.762 0.238 0.250 1
Ho1 Ho 0.500 0.500 0.000 1
Ho2 Ho 0.500 0.500 0.500 1
Tm1 Tm 0.034 0.966 0.250 1
Tm2 Tm 0.966 0.034 0.750 1
Se1 Se 0.116 0.884 0.043 1
Se2 Se 0.116 0.884 0.457 1
Se3 Se 0.442 0.558 0.250 1
Se4 Se 0.558 0.442 0.750 1
Se5 Se 0.884 0.116 0.543 1
Se6 Se 0.884 0.116 0.957 1

5.
# RbPrGeSe3 | OQMD | PBE | optimized geometry
# Total energy (eV per formula unit): -27.6
# V (Å³/cell): 402.9
data_RbPrGeSe3
_cell_length_a 7.861
_cell_length_b 7.861
_cell_length_c 11.619
_cell_angle_alpha 90.00
_cell_angle_beta 90.00
_cell_angle_gamma 145.86
_symmetry_space_group_name_H-M 'P 1'
_symmetry_Int_Tables_number 1
loop_
_symmetry_equiv_pos_as_xyz
'x,y,z'
loop_
_atom_site_label
_atom_site_type_symbol
_atom_site_fract_x
_atom_site_fract_y
_atom_site_fract_z
_atom_site_occupancy
Rb1 Rb 0.246 0.754 0.750 1
Rb2 Rb 0.754 0.246 0.250 1
Pr1 Pr 0.500 0.500 0.000 1
Pr2 Pr 0.500 0.500 0.500 1
Ge1 Ge 0.032 0.968 0.250 1
Ge2 Ge 0.968 0.032 0.750 1
Se1 Se 0.125 0.875 0.056 1
Se2 Se 0.125 0.875 0.444 1
Se3 Se 0.438 0.562 0.250 1
Se4 Se 0.562 0.438 0.750 1
Se5 Se 0.875 0.125 0.556 1
Se6 Se 0.875 0.125 0.944 1

6.
# Pr2Ho2CI3Br2 | OQMD | PBE | optimized geometry
# E above lowest polymorph (meV per atom): 3
# V (Å³/cell): 327.2
data_Pr2Ho2CI3Br2
_cell_length_a 9.536
_cell_length_b 9.536
_cell_length_c 8.959
_cell_angle_alpha 102.13
_cell_angle_beta 102.13
_cell_angle_gamma 24.29
_symmetry_space_group_name_H-M 'P 1'
_symmetry_Int_Tables_number 1
loop_
_symmetry_equiv_pos_as_xyz
'x,y,z'
loop_
_atom_site_label
_atom_site_type_symbol
_atom_site_fract_x
_atom_site_fract_y
_atom_site_fract_z
_atom_site_occupancy
Pr1 Pr 0.002 0.002 0.305 1
Pr2 Pr 0.998 0.998 0.695 1
Ho1 Ho 0.369 0.369 0.439 1
Ho2 Ho 0.631 0.631 0.561 1
C1 C 0.500 0.500 0.500 1
I1 I 0.173 0.173 0.823 1
I2 I 0.500 0.500 0.000 1
I3 I 0.827 0.827 0.177 1
Br1 Br 0.171 0.171 0.360 1
Br2 Br 0.829 0.829 0.640 1